PBE-GGA HoMg3Cd, optimized geometry; electronic total energy = -2.164 eV per atom
1.0
-2.889 0.465 -1.666
2.583 -4.726 -5.796
-2.686 -8.847 2.188
Ho Mg Cd
2 6 2
direct
0.380 0.473 0.244
0.880 0.202 0.562
0.882 0.649 0.477
0.382 0.026 0.329
0.881 0.654 0.922
0.882 0.243 0.050
0.382 0.432 0.756
0.381 0.021 0.884
0.380 0.837 0.654
0.880 0.838 0.152